Record 1
First-principles (PBE) data for a geometry-optimized Sm4Zn3Au structure, as listed in Alexandria.

Geometry as CIF:
```
data_Sm4Zn3Au
_chemical_formula_sum 'Sm4 Zn3 Au1'
_symmetry_space_group_name_H-M 'P 4/m m m'
_symmetry_Int_Tables_number 123
_symmetry_space_group_name_Hall '-P 4 2'
_cell_length_a 3.669
_cell_length_b 3.669
_cell_length_c 14.433
_cell_angle_alpha 90.00
_cell_angle_beta 90.00
_cell_angle_gamma 90.00
loop_
_atom_site_label
_atom_site_type_symbol
_atom_site_fract_x
_atom_site_fract_y
_atom_site_fract_z
Sm1 Sm 0.000 0.000 0.125
Sm2 Sm 0.000 0.000 0.373
Zn1 Zn 0.500 0.500 0.000
Zn2 Zn 0.500 0.500 0.246
Au1 Au 0.500 0.500 0.500
```

- V (Å³/cell) = 194
- energy above the most stable polymorph in this dataset (eV/atom) = 0.0000
- formation energy (meV per atom) = -443

Record 2
First-principles (PBE) data for a geometry-optimized EuAs2W structure, as listed in Alexandria.

Geometry as CIF:
```
data_EuAs2W
_chemical_formula_sum 'Eu3 As6 W3'
_symmetry_space_group_name_H-M 'R -3 m'
_symmetry_Int_Tables_number 166
_symmetry_space_group_name_Hall '-R 3 2"'
_cell_length_a 3.3571
_cell_length_b 3.3571
_cell_length_c 28.7427
_cell_angle_alpha 90.00
_cell_angle_beta 90.00
_cell_angle_gamma 120.00
loop_
_atom_site_label
_atom_site_type_symbol
_atom_site_fract_x
_atom_site_fract_y
_atom_site_fract_z
Eu1 Eu 0.0000 0.0000 0.0000
As1 As 0.0000 0.0000 0.1068
W1 W 0.0000 0.0000 0.5000
```

- V (Å³/cell) = 281
- energy above the most stable polymorph in this dataset (eV/atom) = 0.3800
- formation energy (meV per atom) = 45

Record 3
First-principles (PBE) data for a geometry-optimized CeMgHg2 structure, as listed in Alexandria.

Geometry as CIF:
```
data_CeMgHg2
_chemical_formula_sum 'Ce1 Mg1 Hg2'
_symmetry_space_group_name_H-M 'P 4/m m m'
_symmetry_Int_Tables_number 123
_symmetry_space_group_name_Hall '-P 4 2'
_cell_length_a 5.216
_cell_length_b 5.216
_cell_length_c 3.761
_cell_angle_alpha 90.00
_cell_angle_beta 90.00
_cell_angle_gamma 90.00
loop_
_atom_site_label
_atom_site_type_symbol
_atom_site_fract_x
_atom_site_fract_y
_atom_site_fract_z
Ce1 Ce 0.000 0.000 0.000
Mg1 Mg 0.500 0.500 0.000
Hg1 Hg 0.000 0.500 0.500
```

- V (Å³/cell) = 102
- formation energy (meV per atom) = -255